First-principles (SCAN) data for a PBEsol-optimized structure of HgPb, as listed in the Alexandria database.

The structure in POSCAR format:
```
HgPb
1.0
3.707 0.000 0.000
0.000 5.283 0.029
-1.853 -2.338 5.323
Hg Pb
2 2
direct
0.863 0.635 0.726
0.137 0.365 0.274
0.386 0.154 0.772
0.614 0.846 0.228
```

- electronic total energy (eV for the cell shown) = -287.7
- energy of formation from the pure elements (eV/atom) = 0.04
- symmetry = C2/m



First-principles (SCAN) data for a PBEsol-optimized structure of Hg2Pb, as listed in the Alexandria database.

The structure in POSCAR format:
```
Hg2Pb
1.0
5.307 0.000 0.000
-2.653 4.596 0.000
0.000 0.000 6.256
Hg Pb
4 2
direct
0.000 0.000 0.000
0.000 0.000 0.500
0.333 0.667 0.750
0.667 0.333 0.250
0.667 0.333 0.750
0.333 0.667 0.250
```

- electronic total energy (eV for the cell shown) = -423.7
- energy of formation from the pure elements (eV/atom) = 0.08
- symmetry = P6_3/mmc
- E above lowest polymorph (eV per atom) = 0.041



First-principles (SCAN) data for a PBEsol-optimized structure of Hg2Pb, as listed in the Alexandria database.

The structure in POSCAR format:
```
Hg2Pb
1.0
-3.360 1.606 -0.545
-1.653 -3.371 0.260
1.973 1.550 5.397
Hg Pb
2 1
direct
0.674 0.674 0.349
0.326 0.326 0.651
0.000 0.000 0.000
```

- electronic total energy (eV for the cell shown) = -212.0
- energy of formation from the pure elements (eV/atom) = 0.05
- symmetry = I4/mmm
- E above lowest polymorph (eV per atom) = 0.006



First-principles (SCAN) data for a PBEsol-optimized structure of Hg2Pb, as listed in the Alexandria database.

The structure in POSCAR format:
```
Hg2Pb
1.0
-2.992 4.854 -1.782
-3.279 -4.922 -0.842
-5.019 0.661 3.172
Hg Pb
4 2
direct
0.800 0.650 0.850
0.200 0.350 0.150
0.500 0.150 0.650
0.500 0.850 0.350
0.000 0.750 0.250
0.000 0.250 0.750
```

- electronic total energy (eV for the cell shown) = -423.8
- energy of formation from the pure elements (eV/atom) = 0.07
- symmetry = I4/mcm
- E above lowest polymorph (eV per atom) = 0.027